No. 1
The following is a DFT calculation (GGA-PBE) of crystalline HfAl at its relaxed geometry.

Its electronic total energy is -53.053 eV/cell.

a b c (Å): 5.530 5.530 5.530
angles (deg): 90.00 90.00 90.00
Fractional coordinates of all 8 atoms:
Hf (0.000, 0.000, 0.000)
Hf (0.000, 0.500, 0.500)
Hf (0.500, 0.000, 0.500)
Hf (0.500, 0.500, 0.000)
Al (0.000, 0.000, 0.500)
Al (0.000, 0.500, 0.000)
Al (0.500, 0.000, 0.000)
Al (0.500, 0.500, 0.500)

No. 2
The following is a DFT calculation (GGA-PBE) of crystalline HfAl2Hg at its relaxed geometry.

Its electronic total energy is -67.945 eV/cell.

a b c (Å): 6.790 6.790 6.790
angles (deg): 90.00 90.00 90.00
Fractional coordinates of all 16 atoms:
Hf (0.000, 0.000, 0.000)
Hf (0.000, 0.500, 0.500)
Hf (0.500, 0.000, 0.500)
Hf (0.500, 0.500, 0.000)
Al (0.000, 0.000, 0.500)
Al (0.000, 0.500, 0.000)
Al (0.250, 0.250, 0.250)
Al (0.250, 0.750, 0.750)
Al (0.500, 0.000, 0.000)
Al (0.500, 0.500, 0.500)
Al (0.750, 0.250, 0.750)
Al (0.750, 0.750, 0.250)
Hg (0.250, 0.250, 0.750)
Hg (0.250, 0.750, 0.250)
Hg (0.750, 0.250, 0.250)
Hg (0.750, 0.750, 0.750)

No. 3
The following is a DFT calculation (GGA-PBE) of crystalline HfAlHg2 at its relaxed geometry.

Its electronic total energy is -53.233 eV/cell.

a b c (Å): 6.937 6.937 6.937
angles (deg): 90.00 90.00 90.00
Fractional coordinates of all 16 atoms:
Hf (0.000, 0.000, 0.000)
Hf (0.000, 0.500, 0.500)
Hf (0.500, 0.000, 0.500)
Hf (0.500, 0.500, 0.000)
Al (0.250, 0.250, 0.750)
Al (0.250, 0.750, 0.250)
Al (0.750, 0.250, 0.250)
Al (0.750, 0.750, 0.750)
Hg (0.000, 0.000, 0.500)
Hg (0.000, 0.500, 0.000)
Hg (0.250, 0.250, 0.250)
Hg (0.250, 0.750, 0.750)
Hg (0.500, 0.000, 0.000)
Hg (0.500, 0.500, 0.500)
Hg (0.750, 0.250, 0.750)
Hg (0.750, 0.750, 0.250)

No. 4
The following is a DFT calculation (GGA-PBE) of crystalline HfAlNiHg at its relaxed geometry.

Its electronic total energy is -80.769 eV/cell. For the polymorph energy (0 for the lowest one), the calculation gives 0.0 kJ/mol of atoms.

a b c (Å): 6.498 6.498 6.498
angles (deg): 90.00 90.00 90.00
Fractional coordinates of all 16 atoms:
Hf (0.000, 0.000, 0.000)
Hf (0.000, 0.500, 0.500)
Hf (0.500, 0.000, 0.500)
Hf (0.500, 0.500, 0.000)
Al (0.000, 0.000, 0.500)
Al (0.000, 0.500, 0.000)
Al (0.500, 0.000, 0.000)
Al (0.500, 0.500, 0.500)
Ni (0.250, 0.250, 0.750)
Ni (0.250, 0.750, 0.250)
Ni (0.750, 0.250, 0.250)
Ni (0.750, 0.750, 0.750)
Hg (0.250, 0.250, 0.250)
Hg (0.250, 0.750, 0.750)
Hg (0.750, 0.250, 0.750)
Hg (0.750, 0.750, 0.250)

Question: Number 1 is which compound?
Answer: HfAl